Record 1
The following is a PBE calculation of crystalline Cs2CdHgS at its relaxed geometry, from the Alexandria database.

Cell lengths 6.8324, 6.8324, 5.3370 Å; angles 90.00, 90.00, 90.00 degrees
Closest atoms and distances in Å follow each position.
Fractional positions:
S1 0.0000 0.0000 0.0000  2 Cd 2.67
Cs1 0.0000 0.5000 0.0000  2 S 3.42
Cs2 0.5000 0.0000 0.0000  2 S 3.42
Cd1 0.0000 0.0000 0.5000  2 S 2.67
Hg1 0.5000 0.5000 0.5000  8 Cs 4.33, 4 Cd 4.83

Values from the calculation:
The uncorrected formation energy comes out at -405 meV/atom. The calculated total energy comes out at -9.08 eV per formula unit.

---

Record 2
The following is a PBE calculation of crystalline La2TaNi at its relaxed geometry, from the Alexandria database.

Cell lengths 3.4960, 5.3783, 4.7532 Å; angles 90.00, 90.00, 90.00 degrees
Closest atoms and distances in Å follow each position.
Fractional positions:
Ta1 0.0000 0.5000 0.5000  4 La 2.95, 4 Ni 3.21
La1 0.5000 0.5000 0.0000  4 Ta 2.95, 4 La 3.21
La2 0.0000 0.0000 0.0000  4 Ni 2.95, 4 La 3.21
Ni1 0.5000 0.0000 0.5000  4 La 2.95, 4 Ta 3.21

Values from the calculation:
The excess energy over the best structure of this formula in the dataset comes out at 415 meV/atom. Its formation energy is 483.7 meV per atom. The calculated total energy comes out at -25.55 eV per formula unit.

---

Record 3
The following is a PBE calculation of crystalline NaThCdPb at its relaxed geometry, from the Alexandria database.

Cell lengths 5.4224, 5.4224, 5.4224 Å; angles 60.00, 60.00, 60.00 degrees
Closest atoms and distances in Å follow each position.
Fractional positions:
Na1 0.0000 0.0000 0.0000  4 Cd 3.32, 4 Pb 3.32
Cd1 0.7500 0.7500 0.7500  4 Na 3.32, 4 Th 3.32
Th1 0.5000 0.5000 0.5000  4 Cd 3.32, 4 Pb 3.32
Pb1 0.2500 0.2500 0.2500  4 Th 3.32, 4 Na 3.32

Values from the calculation:
Its formation energy is -72.4 meV per atom. The calculated total energy comes out at -13.65 eV per formula unit.

---

Record 4
The following is a PBE calculation of crystalline Na3Tb3PuTe8 at its relaxed geometry, from the Alexandria database.

Cell lengths 8.8491, 8.8488, 9.1568 Å; angles 118.92, 90.00, 120.00 degrees
Closest atoms and distances in Å follow each position.
Fractional positions:
Te1 0.7440 0.9872 0.7301  1 Pu 3.09, 2 Tb 3.10, 2 Na 3.27
Te2 0.2431 0.9872 0.7301  1 Pu 3.09, 2 Tb 3.10, 2 Na 3.27
Te3 0.2432 0.4863 0.7302  1 Pu 3.09, 2 Tb 3.10, 2 Na 3.27
Te4 0.7569 0.0128 0.2699  1 Pu 3.09, 2 Tb 3.10, 2 Na 3.27
Te5 0.7568 0.5137 0.2698  1 Pu 3.09, 2 Tb 3.10, 2 Na 3.27
Te6 0.2553 0.5105 0.2660  3 Tb 3.11, 3 Na 3.26
Te7 0.2560 0.0128 0.2699  1 Pu 3.09, 2 Tb 3.10, 2 Na 3.27
Te8 0.7447 0.4895 0.7340  3 Tb 3.11, 3 Na 3.26
Tb1 0.5000 0.0000 0.5000  6 Te 3.10-3.11
Tb2 0.5000 0.5000 0.5000  6 Te 3.10-3.11
Tb3 0.0000 0.5000 0.5000  6 Te 3.10-3.11
Na1 0.0000 0.5000 0.0000  6 Te 3.26-3.27
Na2 0.5000 0.5000 0.0000  6 Te 3.26-3.27
Na3 0.0000 0.0000 0.0000  6 Te 3.26-3.27
Pu1 0.0000 0.0000 0.5000  6 Te 3.09

Values from the calculation:
The uncorrected formation energy comes out at -1196 meV/atom. The calculated total energy comes out at -75.26 eV per formula unit.

---

Record 5
The following is a PBE calculation of crystalline PmIn2Ge2 at its relaxed geometry, from the Alexandria database.

Cell lengths 4.2500, 4.3004, 13.1494 Å; angles 90.00, 99.30, 90.00 degrees
Closest atoms and distances in Å follow each position.
Fractional positions:
Ge1 0.1482 0.2500 0.2964  4 Pm 3.04, 4 In 3.17-3.31, 2 Ge 3.39
Ge2 0.2499 0.7500 0.4998  4 Ge 3.02, 4 Pm 3.17-3.19
Ge3 0.7501 0.2500 0.5002  4 Ge 3.02, 4 Pm 3.17-3.19
Ge4 0.8518 0.7500 0.7036  4 Pm 3.04, 4 In 3.17-3.31, 2 Ge 3.39
In1 0.0513 0.7500 0.1025  4 In 3.03, 2 Ge 3.31
In2 0.9487 0.2500 0.8975  4 In 3.03, 2 Ge 3.31
In3 0.5577 0.2500 0.1154  4 In 3.03, 2 Ge 3.17
In4 0.4423 0.7500 0.8846  4 In 3.03, 2 Ge 3.17
Pm1 0.6591 0.7500 0.3182  8 Ge 3.04-3.19, 2 In 3.40
Pm2 0.3409 0.2500 0.6818  8 Ge 3.04-3.19, 2 In 3.40

Values from the calculation:
Its formation energy is -276.3 meV per atom. The calculated total energy comes out at -20.84 eV per formula unit.

---

Record 6
The following is a PBE calculation of crystalline Li2CoCu at its relaxed geometry, from the Alexandria database.

Cell lengths 4.4140, 4.4140, 2.5245 Å; angles 90.00, 90.00, 90.00 degrees
Closest atoms and distances in Å follow each position.
Fractional positions:
Co1 0.5000 0.0000 0.5000  2 Co 2.52, 8 Li 2.54
Li1 0.0000 0.0000 0.0000  2 Li 2.52, 4 Co 2.54, 4 Cu 2.54
Li2 0.5000 0.5000 0.0000  2 Li 2.52, 4 Co 2.54, 4 Cu 2.54
Cu1 0.0000 0.5000 0.5000  2 Cu 2.52, 8 Li 2.54

Values from the calculation:
The excess energy over the best structure of this formula in the dataset comes out at 159 meV/atom. Its formation energy is 243.4 meV per atom. The calculated total energy comes out at -14.06 eV per formula unit.

---

Record 7
The following is a PBE calculation of crystalline Zr2PaFe9 at its relaxed geometry, from the Alexandria database.

Cell lengths 4.9436, 4.9436, 8.5976 Å; angles 73.29, 73.29, 60.00 degrees
Closest atoms and distances in Å follow each position.
Fractional positions:
Fe1 0.6672 0.6672 0.9983  6 Fe 2.49-2.52
Fe2 0.5000 0.5000 0.5000  6 Fe 2.46
Fe3 0.0826 0.5858 0.7457  7 Fe 2.46-2.52
Fe4 0.4142 0.4142 0.2543  7 Fe 2.46-2.52
Fe5 0.5858 0.0826 0.7457  7 Fe 2.46-2.52
Fe6 0.4142 0.9174 0.2543  7 Fe 2.46-2.52
Fe7 0.5858 0.5858 0.7457  7 Fe 2.46-2.52
Fe8 0.9174 0.4142 0.2543  7 Fe 2.46-2.52
Fe9 0.3328 0.3328 0.0017  6 Fe 2.49-2.52
Zr1 0.8577 0.8577 0.4270  12 Fe 2.84-2.95, 3 Zr 3.09
Zr2 0.1423 0.1423 0.5730  12 Fe 2.84-2.95, 3 Zr 3.09
Pa1 0.0000 0.0000 0.0000  6 Fe 2.85

Values from the calculation:
Its formation energy is -193.6 meV per atom. The calculated total energy comes out at -105.08 eV per formula unit.

---

Record 8
The following is a PBE calculation of crystalline Li4CdIn3 at its relaxed geometry, from the Alexandria database.

Cell lengths 4.7133, 4.7133, 7.6734 Å; angles 107.83, 107.84, 90.04 degrees
Closest atoms and distances in Å follow each position.
Fractional positions:
Li1 0.3775 0.3772 0.7550  2 Cd 2.90, 6 In 2.90-2.95
Li2 0.6225 0.6228 0.2450  2 Cd 2.90, 6 In 2.90-2.95
Li3 0.8775 0.8772 0.7550  6 In 2.90-2.95, 2 Cd 2.90
Li4 0.1225 0.1228 0.2450  6 In 2.90-2.95, 2 Cd 2.90
Cd1 0.5000 0.0000 0.0000  8 Li 2.90
In1 0.2507 0.7508 0.5012  8 Li 2.94-2.95
In2 0.0000 0.5000 0.0000  8 Li 2.90
In3 0.7493 0.2492 0.4988  8 Li 2.94-2.95

Values from the calculation:
Its formation energy is -282.4 meV per atom. The calculated total energy comes out at -19.04 eV per formula unit.

---

Record 9
The following is a PBE calculation of crystalline Ca2BeCo at its relaxed geometry, from the Alexandria database.

Cell lengths 8.4930, 8.4930, 8.4930 Å; angles 24.86, 24.86, 24.86 degrees
Closest atoms and distances in Å follow each position.
Fractional positions:
Co1 0.2500 0.2500 0.2500  6 Ca 2.89
Be1 0.7500 0.7500 0.7500  6 Ca 3.01
Ca1 0.5035 0.5035 0.5035  3 Co 2.89, 3 Be 3.01
Ca2 0.9965 0.9965 0.9965  3 Co 2.89, 3 Be 3.01

Values from the calculation:
Its formation energy is 724.9 meV per atom. The calculated total energy comes out at -11.94 eV per formula unit.

---

Record 10
The following is a PBE calculation of crystalline CoGeBi2P at its relaxed geometry, from the Alexandria database.

Cell lengths 5.4140, 4.0272, 5.4140 Å; angles 90.00, 90.00, 90.00 degrees
Closest atoms and distances in Å follow each position.
Fractional positions:
Bi1 0.0000 0.0000 0.5000  2 Co 2.71
Bi2 0.5000 0.0000 0.0000  2 Co 2.71
P1 0.0000 0.5000 0.0000  2 Co 2.01
Ge1 0.5000 0.5000 0.5000  8 Bi 3.37
Co1 0.0000 0.0000 0.0000  2 P 2.01

Values from the calculation:
Its formation energy is 280.1 meV per atom. The calculated total energy comes out at -23.49 eV per formula unit.

---

Record 11
The following is a PBE calculation of crystalline SiIr2Rh at its relaxed geometry, from the Alexandria database.

Cell lengths 2.7836, 2.7836, 8.6104 Å; angles 90.00, 90.00, 119.86 degrees
Closest atoms and distances in Å follow each position.
Fractional positions:
Si1 0.5000 0.5000 0.7500  4 Ir 2.37
Ir1 0.0000 0.0000 0.5272  2 Si 2.37
Ir2 0.0000 0.0000 0.9728  2 Si 2.37
Rh1 0.5000 0.5000 0.2500  4 Ir 2.76, 6 Rh 2.78-2.79

Values from the calculation:
The uncorrected formation energy comes out at 15 meV/atom. The calculated total energy comes out at -30.44 eV per formula unit.

---

Record 12
The following is a PBE calculation of crystalline SrNiTe at its relaxed geometry, from the Alexandria database.

Cell lengths 9.5592, 4.4613, 4.4676 Å; angles 60.01, 90.05, 76.51 degrees
Closest atoms and distances in Å follow each position.
Fractional positions:
Ni1 0.7601 0.5230 0.4325  3 Te 2.60, 3 Ni 2.67
Ni2 0.8365 0.1389 0.1243  3 Te 2.60, 3 Ni 2.67
Te1 0.2984 0.8306 0.2792  6 Sr 3.28
Te2 0.7986 0.8308 0.7786  6 Ni 2.60
Sr1 0.5188 0.3504 0.0193  1 Ni 2.92
Sr2 0.0780 0.3108 0.5391  1 Ni 2.93

Values from the calculation:
The uncorrected formation energy comes out at -787 meV/atom. The calculated total energy comes out at -12.96 eV per formula unit.